[1]
A plane-wave DFT calculation with PBE was carried out for a relaxed structure of SrCrC.

The total moment is 0.44 μB per formula unit. The calculation puts the energy of formation at 53.2 meV per atom. The value obtained for the density of states at the Fermi level is 0.93 states/eV per atom. The calculation puts the total energy at -40.7 eV/cell.

The space group is P4/nmm (No. 129, origin choice 2) and the conventional cell measures 3.610, 3.610 and 8.959 Å, with angles of 90.00, 90.00 and 90.00 degrees. Symmetry generates all atoms from Sr at (0.250, 0.250, 0.201), Cr at (0.250, 0.750, 0.500) and C at (0.250, 0.250, 0.595).

---

[2]
A plane-wave DFT calculation with PBE was carried out for a relaxed structure of PrZnPdPt.

The total moment is 0.00 μB per formula unit. The calculation puts the energy of formation at -652.3 meV per atom. The value obtained for the distance to the lowest polymorph of the same formula is 154 meV per atom. The value obtained for the density of states at the Fermi level is 0.61 states/eV per atom. The calculation puts the total energy at -79.6 eV/cell.

The space group is F-43m (No. 216) and the conventional cell measures 6.818, 6.818 and 6.818 Å, with angles of 90.00, 90.00 and 90.00 degrees. Symmetry generates all atoms from Pr at (0.000, 0.000, 0.000), Zn at (0.000, 0.000, 0.500), Pd at (0.250, 0.250, 0.250) and Pt at (0.250, 0.250, 0.750).

---

[3]
A plane-wave DFT calculation with PBE was carried out for a relaxed structure of HoSbTe2.

The total moment is 0.00 μB per formula unit. Its formation energy from raw total energies is -0.073 eV per atom. The value obtained for the density of states at the Fermi level is 0.34 states/eV per atom. The calculation puts the total energy at -45.8 eV/cell.

The space group is R-3m (No. 166, hexagonal axes) and the conventional cell measures 4.1965, 4.1965 and 29.0530 Å, with angles of 90.00, 90.00 and 120.00 degrees. Symmetry generates all atoms from Ho at (0.0000, 0.0000, 0.0000), Sb at (0.0000, 0.0000, 0.5000) and Te at (0.0000, 0.0000, 0.1028).

---

[4]
A plane-wave DFT calculation with PBE was carried out for a relaxed structure of RbLiRhO3.

The total moment is 1.02 μB per formula unit. Its formation energy from raw total energies is -1.088 eV per atom. The value obtained for the density of states at the Fermi level is 0.59 states/eV per atom. The calculation puts the total energy at -126.5 eV/cell.

The space group is Cmcm (No. 63) and the conventional cell measures 5.695, 10.233 and 5.828 Å, with angles of 90.00, 90.00 and 90.00 degrees. Symmetry generates all atoms from Rb at (0.000, 0.221, 0.250), Li at (0.000, 0.081, 0.750), Rh at (0.000, 0.463, 0.750), O at (0.000, 0.276, 0.750) and O at (0.238, 0.500, 0.000).

---

[5]
A plane-wave DFT calculation with PBE was carried out for a relaxed structure of TbEr2Co9.

The total moment is 10.75 μB per formula unit. The calculation puts the energy of formation at -196.2 meV per atom. The value obtained for the density of states at the Fermi level is 1.36 states/eV per atom. The calculation puts the total energy at -240.2 eV/cell.

The space group is R-3m (No. 166, hexagonal axes) and the conventional cell measures 4.9712, 4.9712 and 24.2254 Å, with angles of 90.00, 90.00 and 120.00 degrees. Symmetry generates all atoms from Tb at (0.0000, 0.0000, 0.0000), Er at (0.0000, 0.0000, 0.1400), Co at (0.0000, 0.0000, 0.3351), Co at (0.0000, 0.0000, 0.5000) and Co at (0.0037, 0.5019, 0.9181).

---

[6]
A plane-wave DFT calculation with PBE was carried out for a relaxed structure of CaTl2Te2.

The total moment is 0.00 μB per formula unit. Its formation energy from raw total energies is -0.551 eV per atom. The value obtained for the distance to the lowest polymorph of the same formula is 39 meV per atom. The value obtained for the density of states at the Fermi level is 0.34 states/eV per atom. The calculation puts the total energy at -31.5 eV/cell.

The space group is I4/mmm (No. 139) and the conventional cell measures 4.385, 4.385 and 17.466 Å, with angles of 90.00, 90.00 and 90.00 degrees. Symmetry generates all atoms from Ca at (0.000, 0.000, 0.000), Tl at (0.000, 0.500, 0.250) and Te at (0.000, 0.000, 0.408).

---

[7]
A plane-wave DFT calculation with PBE was carried out for a relaxed structure of La2Sn3Pb3.

The total moment is 0.00 μB per formula unit. The calculation puts the energy of formation at -505.5 meV per atom. The value obtained for the density of states at the Fermi level is 0.61 states/eV per atom. The calculation puts the total energy at -37.0 eV/cell.

The space group is Pmmm (No. 47) and the conventional cell measures 4.889, 4.903 and 9.744 Å, with angles of 90.00, 90.00 and 90.00 degrees. Symmetry generates all atoms from La at (0.000, 0.000, 0.245), Sn at (0.000, 0.500, 0.000), Sn at (0.500, 0.000, 0.000), Sn at (0.500, 0.000, 0.500), Pb at (0.000, 0.500, 0.500) and Pb at (0.500, 0.500, 0.247).

---

[8]
A plane-wave DFT calculation with PBE was carried out for a relaxed structure of TbTmH2.

The total moment is 0.00 μB per formula unit. The value obtained for the distance to the lowest polymorph of the same formula is 159 meV per atom. The value obtained for the density of states at the Fermi level is 0.61 states/eV per atom. The calculation puts the total energy at -51.7 eV/cell.

The space group is R-3m (No. 166, hexagonal axes) and the conventional cell measures 3.4585, 3.4585 and 16.8632 Å, with angles of 90.00, 90.00 and 120.00 degrees. Symmetry generates all atoms from Tb at (0.0000, 0.0000, 0.0000), Tm at (0.0000, 0.0000, 0.5000) and H at (0.0000, 0.0000, 0.2485).

---

[9]
A plane-wave DFT calculation with PBE was carried out for a relaxed structure of Hg5Mo.

The total moment is 0.26 μB per formula unit. The calculation puts the energy of formation at 367.3 meV per atom. The value obtained for the distance to the lowest polymorph of the same formula is 0 meV per atom. The value obtained for the density of states at the Fermi level is 0.80 states/eV per atom. The calculation puts the total energy at -20.3 eV/cell.

The space group is Cm (No. 8) and the conventional cell measures 14.228, 2.943 and 7.687 Å, with angles of 90.00, 116.11 and 90.00 degrees. Symmetry generates all atoms from Hg at (0.000, 0.000, 0.000), Hg at (0.050, 0.500, 0.704), Hg at (0.151, 0.000, 0.446), Hg at (0.271, 0.500, 0.988), Hg at (0.330, 0.500, 0.435) and Mo at (0.454, 0.000, 0.281).

---

[10]
A plane-wave DFT calculation with PBE was carried out for a relaxed structure of Li2VNiW.

The total moment is 1.70 μB per formula unit. The calculation puts the energy of formation at 1850.6 meV per atom. The value obtained for the density of states at the Fermi level is 1.35 states/eV per atom. The calculation puts the total energy at -22.4 eV/cell.

The space group is P4/mmm (No. 123) and the conventional cell measures 4.531, 4.531 and 4.386 Å, with angles of 90.00, 90.00 and 90.00 degrees. Symmetry generates all atoms from Li at (0.000, 0.500, 0.000), V at (0.000, 0.000, 0.500), Ni at (0.500, 0.500, 0.500) and W at (0.500, 0.500, 0.000).

---

[11]
A plane-wave DFT calculation with PBE was carried out for a relaxed structure of Pm4YTl.

The total moment is 0.00 μB per formula unit. The calculation puts the energy of formation at -44.1 meV per atom. The value obtained for the distance to the lowest polymorph of the same formula is 0 meV per atom. The value obtained for the density of states at the Fermi level is 1.78 states/eV per atom. The calculation puts the total energy at -28.1 eV/cell.

The space group is P4/mmm (No. 123) and the conventional cell measures 4.154, 4.154 and 11.235 Å, with angles of 90.00, 90.00 and 90.00 degrees. Symmetry generates all atoms from Pm at (0.000, 0.000, 0.147), Pm at (0.500, 0.500, 0.332), Y at (0.000, 0.000, 0.500) and Tl at (0.500, 0.500, 0.000).

---

[12]
A plane-wave DFT calculation with PBE was carried out for a relaxed structure of Zn3H4Ir2.

The total moment is 0.00 μB per formula unit. The value obtained for the density of states at the Fermi level is 0.12 states/eV per atom. The calculation puts the total energy at -70.8 eV/cell.

The space group is C2/m (No. 12) and the conventional cell measures 9.514, 2.944 and 7.337 Å, with angles of 90.00, 107.06 and 90.00 degrees. Symmetry generates all atoms from Zn at (0.000, 0.000, 0.000), Zn at (0.132, 0.500, 0.660), H at (0.058, 0.000, 0.362), H at (0.238, 0.500, 0.148) and Ir at (0.130, 0.500, 0.291).

---

Number 7 is which compound? La2Sn3Pb3

---

Please write out number 6 again, unchanged.
A plane-wave DFT calculation with PBE was carried out for a relaxed structure of CaTl2Te2.

The total moment is 0.00 μB per formula unit. Its formation energy from raw total energies is -0.551 eV per atom. The value obtained for the distance to the lowest polymorph of the same formula is 39 meV per atom. The value obtained for the density of states at the Fermi level is 0.34 states/eV per atom. The calculation puts the total energy at -31.5 eV/cell.

The space group is I4/mmm (No. 139) and the conventional cell measures 4.385, 4.385 and 17.466 Å, with angles of 90.00, 90.00 and 90.00 degrees. Symmetry generates all atoms from Ca at (0.000, 0.000, 0.000), Tl at (0.000, 0.500, 0.250) and Te at (0.000, 0.000, 0.408).

---

Copy entry 2 word for word.
A plane-wave DFT calculation with PBE was carried out for a relaxed structure of PrZnPdPt.

The total moment is 0.00 μB per formula unit. The calculation puts the energy of formation at -652.3 meV per atom. The value obtained for the distance to the lowest polymorph of the same formula is 154 meV per atom. The value obtained for the density of states at the Fermi level is 0.61 states/eV per atom. The calculation puts the total energy at -79.6 eV/cell.

The space group is F-43m (No. 216) and the conventional cell measures 6.818, 6.818 and 6.818 Å, with angles of 90.00, 90.00 and 90.00 degrees. Symmetry generates all atoms from Pr at (0.000, 0.000, 0.000), Zn at (0.000, 0.000, 0.500), Pd at (0.250, 0.250, 0.250) and Pt at (0.250, 0.250, 0.750).